A plane-wave DFT calculation with PBE was carried out for crystalline HgOs2 at its relaxed geometry.

Cell: 8.4703 8.4703 8.4703 Å, 60.00 60.00 60.00°
Closest atoms and distances in Å follow each position.
Positions (direct):
Hg 0.2500 0.2500 0.2500  4 Os 2.59
Hg 0.5000 0.5000 0.5000  4 Os 2.59
Os 0.3750 0.3750 0.3750  2 Hg 2.59
Os 0.8750 0.3750 0.3750  2 Hg 2.59
Os 0.3750 0.8750 0.3750  2 Hg 2.59
Os 0.3750 0.3750 0.8750  2 Hg 2.59

Output
Calculated formation energy: 1305 kJ/mol of formula units
Distance to the lowest polymorph of the same formula: 332.4 kJ/mol of atoms
DFT total energy: -3.073 eV/atom
Space group: Fd-3m (227)
Total moment: 6.525 μB/f.u.

***

A plane-wave DFT calculation with PBE was carried out for crystalline Zr2TeAs2Se at its relaxed geometry.

Cell: 7.4128 7.4128 7.4128 Å, 151.12 137.43 52.25°
Closest atoms and distances in Å follow each position.
Positions (direct):
As 0.2594 0.9999 0.2595  2 As 2.59-2.79, 4 Zr 2.84-2.86
As 0.7404 0.9999 0.7405  2 As 2.59-2.79, 4 Zr 2.84-2.86
Se 0.7114 0.7114 0.0000  4 Zr 2.84-2.94
Te 0.2924 0.2924 0.0000  4 Zr 2.90-2.91
Zr 0.8734 0.3734 0.5000  2 Se 2.84, 4 As 2.86, 2 Te 2.90
Zr 0.1231 0.6231 0.5000  4 As 2.84, 2 Te 2.91, 2 Se 2.94

Output
DFT total energy: -6.472 eV/atom
Space group: Imm2 (44)
Total moment: 0.010 μB/f.u.

***

A plane-wave DFT calculation with PBE was carried out for crystalline Tl2Cd at its relaxed geometry.

Cell: 11.8986 11.1716 6.0159 Å, 81.69 68.29 30.02°
Closest atoms and distances in Å follow each position.
Positions (direct):
Cd 0.8839 0.8839 0.1161  2 Cd 3.03, 8 Tl 3.16-3.33
Cd 0.3661 0.3661 0.1339  2 Cd 3.03, 8 Tl 3.16-3.33
Cd 0.1339 0.1339 0.3661  2 Cd 3.03, 8 Tl 3.16-3.33
Cd 0.1161 0.1161 0.8839  2 Cd 3.03, 8 Tl 3.16-3.33
Tl 0.0606 0.4394 0.0606  4 Cd 3.16-3.33, 2 Tl 3.36
Tl 0.1894 0.8106 0.1894  4 Cd 3.16-3.33, 2 Tl 3.36
Tl 0.5768 0.5768 0.4232  4 Cd 3.23-3.25, 3 Tl 3.29-3.60
Tl 0.4394 0.0606 0.4394  4 Cd 3.16-3.33, 2 Tl 3.36
Tl 0.4232 0.4232 0.5768  4 Cd 3.23-3.25, 3 Tl 3.29-3.60
Tl 0.8268 0.8268 0.6732  4 Cd 3.23-3.25, 3 Tl 3.29-3.60
Tl 0.8106 0.1894 0.8106  4 Cd 3.16-3.33, 2 Tl 3.36
Tl 0.6732 0.6732 0.8268  4 Cd 3.23-3.25, 3 Tl 3.29-3.60

Output
Distance to the lowest polymorph of the same formula: 0.0 kJ/mol of atoms
DFT total energy: -1.841 eV/atom
Space group: Fddd (70)

***

A plane-wave DFT calculation with PBE was carried out for crystalline Zn2Ir at its relaxed geometry.

Cell: 4.8732 4.8732 4.8732 Å, 60.00 60.00 60.00°
Closest atoms and distances in Å follow each position.
Positions (direct):
Ir 0.0000 0.0000 0.0000  12 Zn 2.86, 4 Ir 2.98
Ir 0.2500 0.2500 0.2500  12 Zn 2.86, 4 Ir 2.98
Zn 0.6250 0.6250 0.1250  6 Zn 2.44
Zn 0.6250 0.1250 0.6250  6 Zn 2.44
Zn 0.1250 0.6250 0.6250  6 Zn 2.44
Zn 0.6250 0.6250 0.6250  6 Zn 2.44

Output
Calculated formation energy: 12 kJ/mol of formula units
DFT total energy: -3.755 eV/atom
Space group: Fd-3m (227)
Total moment: 0.001 μB/f.u.